[1]
A plane-wave DFT calculation with PBE was carried out for an optimized crystal structure of AlCd2Ru.

final energy = -3.824 eV per atom
energy relative to the elements = -0.112 eV/atom

a b c (Å): 3.192 3.192 7.039
angles (deg): 90.00 90.00 90.00
Space group P4mm (No. 99)
Asymmetric unit:
Al (0.000, 0.000, 0.000) [1 per cell]
Cd (0.000, 0.000, 0.587) [1 per cell]
Cd (0.500, 0.500, 0.286) [1 per cell]
Ru (0.500, 0.500, 0.855) [1 per cell]

=====

[2]
A plane-wave DFT calculation with PBE was carried out for an optimized crystal structure of Al2CdRu.

final energy = -4.597 eV per atom
energy relative to the elements = -0.178 eV/atom

a b c (Å): 3.332 3.332 5.882
angles (deg): 90.00 90.00 90.00
Space group P4mm (No. 99)
Asymmetric unit:
Al (0.000, 0.000, 0.000) [1 per cell]
Al (0.500, 0.500, 0.258) [1 per cell]
Cd (0.000, 0.000, 0.525) [1 per cell]
Ru (0.500, 0.500, 0.830) [1 per cell]

=====

[3]
A plane-wave DFT calculation with PBE was carried out for an optimized crystal structure of Al2CdRu.

final energy = -4.587 eV per atom
energy relative to the elements = -0.168 eV/atom

a b c (Å): 4.002 4.002 7.873
angles (deg): 90.00 90.00 90.00
Space group I4/mmm (No. 139)
Asymmetric unit:
Al (0.000, 0.500, 0.250) [4 per cell]
Cd (0.000, 0.000, 0.000) [2 per cell]
Ru (0.000, 0.000, 0.500) [2 per cell]

=====

[4]
A plane-wave DFT calculation with PBE was carried out for an optimized crystal structure of Al2CdRu.

final energy = -4.541 eV per atom
energy relative to the elements = -0.122 eV/atom

a b c (Å): 6.127 6.076 3.345
angles (deg): 90.00 90.11 90.00
Space group C2/m (No. 12)
Asymmetric unit:
Al (0.250, 0.250, 0.000) [4 per cell]
Cd (0.000, 0.000, 0.500) [2 per cell]
Ru (0.000, 0.500, 0.500) [2 per cell]

=====

[5]
A plane-wave DFT calculation with PBE was carried out for an optimized crystal structure of Al2CdRu.

final energy = -4.723 eV per atom
energy relative to the elements = -0.304 eV/atom

a b c (Å): 3.065 3.073 6.968
angles (deg): 90.00 90.11 90.00
Space group P2/m (No. 10)
Asymmetric unit:
Al (0.001, 0.000, 0.198) [2 per cell]
Cd (0.500, 0.500, 0.500) [1 per cell]
Ru (0.500, 0.500, 0.000) [1 per cell]

=====

[6]
A plane-wave DFT calculation with PBE was carried out for an optimized crystal structure of AlCd2Ru.

final energy = -3.542 eV per atom
energy relative to the elements = 0.170 eV/atom

a b c (Å): 2.860 5.124 4.853
angles (deg): 90.00 91.99 90.00
Space group P2/m (No. 10)
Asymmetric unit:
Al (0.000, 0.000, 0.000) [1 per cell]
Cd (0.242, 0.500, 0.747) [2 per cell]
Ru (0.500, 0.000, 0.500) [1 per cell]

=====

[7]
A plane-wave DFT calculation with PBE was carried out for an optimized crystal structure of Al2CdRu.

final energy = -4.530 eV per atom
energy relative to the elements = -0.111 eV/atom

a b c (Å): 3.048 4.562 4.645
angles (deg): 90.00 90.00 90.00
Space group Pmm2 (No. 25)
Asymmetric unit:
Al (0.000, 0.000, 0.000) [1 per cell]
Al (0.500, 0.500, 0.177) [1 per cell]
Cd (0.000, 0.500, 0.665) [1 per cell]
Ru (0.500, 0.000, 0.454) [1 per cell]

=====

[8]
A plane-wave DFT calculation with PBE was carried out for an optimized crystal structure of AlCd2Ru.

final energy = -3.686 eV per atom
energy relative to the elements = 0.026 eV/atom

a b c (Å): 10.180 3.413 4.515
angles (deg): 90.00 116.14 90.00
Space group Cm (No. 8)
Asymmetric unit:
Al (0.000, 0.000, 0.000) [2 per cell]
Cd (0.232, 0.000, 0.730) [2 per cell]
Cd (0.459, 0.000, 0.458) [2 per cell]
Ru (0.199, 0.500, 0.196) [2 per cell]

=====

[9]
A plane-wave DFT calculation with PBE was carried out for an optimized crystal structure of AlCd2Ru.

final energy = -3.517 eV per atom
energy relative to the elements = 0.196 eV/atom

a b c (Å): 5.485 7.958 3.259
angles (deg): 90.00 90.00 90.00
Space group Cmmm (No. 65)
Asymmetric unit:
Al (0.000, 0.000, 0.000) [2 per cell]
Cd (0.250, 0.250, 0.500) [4 per cell]
Ru (0.000, 0.500, 0.000) [2 per cell]

=====

[10]
A plane-wave DFT calculation with PBE was carried out for an optimized crystal structure of AlCdRu.

final energy = -4.531 eV per atom
energy relative to the elements = 0.113 eV/atom

a b c (Å): 3.157 4.819 13.384
angles (deg): 90.00 90.00 90.00
Space group Fmm2 (No. 42)
Asymmetric unit:
Al (0.000, 0.000, 0.000) [4 per cell]
Cd (0.000, 0.000, 0.311) [4 per cell]
Ru (0.000, 0.000, 0.637) [4 per cell]

=====

[11]
A plane-wave DFT calculation with PBE was carried out for an optimized crystal structure of AlCd4Ru.

final energy = -2.290 eV per atom
energy relative to the elements = 0.489 eV/atom

a b c (Å): 7.803 7.803 7.803
angles (deg): 90.00 90.00 90.00
Space group F-43m (No. 216)
Asymmetric unit:
Al (0.000, 0.000, 0.000) [4 per cell]
Cd (0.125, 0.125, 0.625) [16 per cell]
Ru (0.250, 0.250, 0.250) [4 per cell]

=====

[12]
A plane-wave DFT calculation with PBE was carried out for an optimized crystal structure of AlCdRu.

final energy = -4.447 eV per atom
energy relative to the elements = 0.198 eV/atom

a b c (Å): 6.129 6.129 6.129
angles (deg): 90.00 90.00 90.00
Space group F-43m (No. 216)
Asymmetric unit:
Al (0.000, 0.000, 0.000) [4 per cell]
Cd (0.000, 0.000, 0.500) [4 per cell]
Ru (0.250, 0.250, 0.750) [4 per cell]

=====

[13]
A plane-wave DFT calculation with PBE was carried out for an optimized crystal structure of AlCd2Ru.

final energy = -3.385 eV per atom
energy relative to the elements = 0.327 eV/atom

a b c (Å): 2.929 2.929 8.679
angles (deg): 90.00 90.00 90.00
Space group P4/mmm (No. 123)
Asymmetric unit:
Al (0.000, 0.000, 0.000) [1 per cell]
Cd (0.500, 0.500, 0.267) [2 per cell]
Ru (0.000, 0.000, 0.500) [1 per cell]

=====

[14]
A plane-wave DFT calculation with PBE was carried out for an optimized crystal structure of Al2CdRu.

final energy = -4.309 eV per atom
energy relative to the elements = 0.110 eV/atom

a b c (Å): 6.360 6.360 6.360
angles (deg): 90.00 90.00 90.00
Space group F-43m (No. 216)
Asymmetric unit:
Al (0.000, 0.000, 0.000) [4 per cell]
Al (0.250, 0.250, 0.250) [4 per cell]
Cd (0.250, 0.250, 0.750) [4 per cell]
Ru (0.000, 0.000, 0.500) [4 per cell]

=====

[15]
A plane-wave DFT calculation with PBE was carried out for an optimized crystal structure of AlCdRu.

final energy = -4.814 eV per atom
energy relative to the elements = -0.170 eV/atom

a b c (Å): 3.186 3.186 9.800
angles (deg): 90.00 90.00 90.00
Space group I4mm (No. 107)
Asymmetric unit:
Al (0.000, 0.000, 0.000) [2 per cell]
Cd (0.000, 0.000, 0.704) [2 per cell]
Ru (0.000, 0.000, 0.393) [2 per cell]

=====

[16]
A plane-wave DFT calculation with PBE was carried out for an optimized crystal structure of AlCd2Ru.

final energy = -3.693 eV per atom
energy relative to the elements = 0.019 eV/atom

a b c (Å): 3.394 4.280 9.476
angles (deg): 90.00 90.00 90.00
Space group Immm (No. 71)
Asymmetric unit:
Al (0.000, 0.000, 0.000) [2 per cell]
Cd (0.000, 0.500, 0.245) [4 per cell]
Ru (0.000, 0.000, 0.500) [2 per cell]

=====

[17]
A plane-wave DFT calculation with PBE was carried out for an optimized crystal structure of AlCd2Ru.

final energy = -3.600 eV per atom
energy relative to the elements = 0.112 eV/atom

a b c (Å): 3.180 4.917 9.352
angles (deg): 90.00 90.00 90.00
Space group Cmm2 (No. 35)
Asymmetric unit:
Al (0.000, 0.000, 0.000) [2 per cell]
Cd (0.000, 0.000, 0.560) [2 per cell]
Cd (0.000, 0.500, 0.267) [2 per cell]
Ru (0.000, 0.500, 0.807) [2 per cell]

=====

[18]
A plane-wave DFT calculation with PBE was carried out for an optimized crystal structure of AlCd2Ru.

final energy = -3.424 eV per atom
energy relative to the elements = 0.288 eV/atom

a b c (Å): 2.9758 2.9758 28.2395
angles (deg): 90.00 90.00 120.00
Space group R-3m (No. 166, hexagonal axes)
Asymmetric unit:
Al (0.0000, 0.0000, 0.0000) [3 per cell]
Cd (0.0000, 0.0000, 0.2473) [6 per cell]
Ru (0.0000, 0.0000, 0.5000) [3 per cell]

=====

[19]
A plane-wave DFT calculation with PBE was carried out for an optimized crystal structure of AlCdRu2S.

ΔE_f (raw) = 1.1861 eV per atom
final energy = -4.281 eV per atom

a b c (Å): 4.546 4.546 4.934
angles (deg): 90.00 90.00 90.00
Space group P4/mmm (No. 123)
Asymmetric unit:
Al (0.000, 0.000, 0.000) [1 per cell]
Cd (0.000, 0.000, 0.500) [1 per cell]
Ru (0.000, 0.500, 0.000) [2 per cell]
S (0.500, 0.500, 0.500) [1 per cell]

=====

[20]
A plane-wave DFT calculation with PBE was carried out for an optimized crystal structure of Al2CdSnRu.

final energy = -4.135 eV per atom
energy relative to the elements = 0.201 eV/atom

a b c (Å): 4.707 4.707 5.257
angles (deg): 90.00 90.00 90.00
Space group P4/mmm (No. 123)
Asymmetric unit:
Al (0.000, 0.500, 0.000) [2 per cell]
Cd (0.000, 0.000, 0.500) [1 per cell]
Sn (0.500, 0.500, 0.500) [1 per cell]
Ru (0.000, 0.000, 0.000) [1 per cell]

=====

[21]
A plane-wave DFT calculation with PBE was carried out for an optimized crystal structure of Al2VCdRu.

final energy = -4.595 eV per atom
energy relative to the elements = 0.764 eV/atom

a b c (Å): 4.564 4.564 5.078
angles (deg): 90.00 90.00 90.00
Space group P4/mmm (No. 123)
Asymmetric unit:
Al (0.000, 0.500, 0.000) [2 per cell]
V (0.000, 0.000, 0.500) [1 per cell]
Cd (0.500, 0.500, 0.500) [1 per cell]
Ru (0.500, 0.500, 0.000) [1 per cell]

=====

[22]
A plane-wave DFT calculation with PBE was carried out for an optimized crystal structure of AlCd2S.

ΔE_f (raw) = 0.2873 eV per atom
distance to the lowest polymorph of the same formula = 0.88 eV/f.u.
final energy = -2.138 eV per atom

a b c (Å): 7.038 7.038 7.038
angles (deg): 90.00 90.00 90.00
Space group Fm-3m (No. 225)
Asymmetric unit:
Al (0.000, 0.000, 0.000) [4 per cell]
Cd (0.250, 0.250, 0.250) [8 per cell]
S (0.000, 0.000, 0.500) [4 per cell]

=====

[23]
A plane-wave DFT calculation with PBE was carried out for an optimized crystal structure of Al2CdS.

ΔE_f (raw) = 0.2688 eV per atom
distance to the lowest polymorph of the same formula = 1.11 eV/f.u.
final energy = -2.863 eV per atom

a b c (Å): 6.787 6.787 6.787
angles (deg): 90.00 90.00 90.00
Space group Fm-3m (No. 225)
Asymmetric unit:
Al (0.250, 0.250, 0.250) [8 per cell]
Cd (0.000, 0.000, 0.000) [4 per cell]
S (0.000, 0.000, 0.500) [4 per cell]

=====

[24]
A plane-wave DFT calculation with PBE was carried out for an optimized crystal structure of Al2CdS4.

ΔE_f (raw) = -0.9727 eV per atom
final energy = -4.531 eV per atom

a b c (Å): 5.635 5.635 10.244
angles (deg): 90.00 90.00 90.00
Space group I-4 (No. 82)
Asymmetric unit:
Al (0.000, 0.000, 0.000) [2 per cell]
Al (0.000, 0.500, 0.250) [2 per cell]
Cd (0.000, 0.500, 0.750) [2 per cell]
S (0.220, 0.264, 0.116) [8 per cell]

=====

[25]
A plane-wave DFT calculation with PBE was carried out for an optimized crystal structure of AlCd3S.

ΔE_f (raw) = 0.4670 eV per atom
distance to the lowest polymorph of the same formula = 0.07 eV/f.u.
final energy = -1.656 eV per atom

a b c (Å): 5.173 5.173 5.173
angles (deg): 90.00 90.00 90.00
Space group Pm-3m (No. 221)
Asymmetric unit:
Al (0.000, 0.000, 0.000) [1 per cell]
Cd (0.000, 0.500, 0.500) [3 per cell]
S (0.500, 0.500, 0.500) [1 per cell]

=====

[26]
A plane-wave DFT calculation with PBE was carried out for an optimized crystal structure of AlCd3S.

ΔE_f (raw) = 0.4531 eV per atom
distance to the lowest polymorph of the same formula = 0.00 eV/f.u.
final energy = -1.670 eV per atom

a b c (Å): 5.170 5.170 5.170
angles (deg): 90.00 90.00 90.00
Space group Pm-3m (No. 221)
Asymmetric unit:
Al (0.000, 0.000, 0.000) [1 per cell]
Cd (0.000, 0.000, 0.500) [3 per cell]
S (0.500, 0.500, 0.500) [1 per cell]

=====

[27]
A plane-wave DFT calculation with PBE was carried out for an optimized crystal structure of Al2CdS4.

ΔE_f (raw) = -0.9491 eV per atom
final energy = -4.508 eV per atom

a b c (Å): 5.234 5.234 5.884
angles (deg): 90.00 90.00 90.00
Space group P-42m (No. 111)
Asymmetric unit:
Al (0.000, 0.500, 0.000) [2 per cell]
Cd (0.000, 0.000, 0.500) [1 per cell]
S (0.268, 0.268, 0.772) [4 per cell]

=====

[28]
A plane-wave DFT calculation with PBE was carried out for an optimized crystal structure of Al2CdS4.

ΔE_f (raw) = -0.9530 eV per atom
final energy = -4.512 eV per atom

a b c (Å): 10.366 10.366 10.366
angles (deg): 90.00 90.00 90.00
Space group Fd-3m (No. 227, origin choice 2)
Asymmetric unit:
Al (0.000, 0.000, 0.000) [16 per cell]
Cd (0.125, 0.125, 0.625) [8 per cell]
S (0.015, 0.015, 0.235) [32 per cell]